Material: MnHgBi2F
Method: DFT, PBE with a Hubbard U
State: relaxed

Computed properties:
energy: -3.605 eV per atom
crystal system: tetragonal
total magnetic moment: 4.52 μB/f.u.
space-group type: P4/mmm

Cell: 4.934 5.276 4.934 Å, 90.00 90.00 90.00°
Site moments in Bohr magnetons follow the coordinates.
Positions (direct):
F1 0.000 0.000 0.000  -0.01
Mn1 0.500 0.500 0.500  4.66
Bi1 0.000 0.000 0.500  -0.17
Bi2 0.500 0.000 0.000  -0.16
Hg1 0.000 0.500 0.000  -0.01